A relaxed structure of PrY3. Source: Alexandria, functional PBE.

Cell and atoms, written as POSCAR:
```
PrY3
1.0
5.101 0.000 0.000
0.000 5.101 0.000
0.000 0.000 5.101
Pr Y
1 3
Direct
0.000 0.000 0.000
0.000 0.500 0.500
0.500 0.000 0.500
0.500 0.500 0.000
```

Results
Formation enthalpy at 0 K ... 0.0223 eV per atom
ΔE to the lowest computed polymorph ... 12 meV/atom
Uncorrected energy ... -24.082 eV/f.u.
Fermi-level density of states ... 6.3 states/eV/cell